# PBE-GGA Sc6HgPd12, optimized geometry
data_Sc6HgPd12
_space_group_name_H-M_alt 'R -3'
_space_group_IT_number 148
_space_group_name_Hall '-R 3'
_cell_length_a 10.1407
_cell_length_b 10.1407
_cell_length_c 11.4188
_cell_angle_alpha 90.00
_cell_angle_beta 90.00
_cell_angle_gamma 120.00
loop_
_atom_site_label
_atom_site_fract_x
_atom_site_fract_y
_atom_site_fract_z
Sc1 0.0137 0.4273 0.2367
Hg1 0.0000 0.0000 0.5000
Pd1 0.0509 0.1892 0.3167
Pd2 0.0621 0.8721 0.8994
# Total moment in μB per atom: 0.000
# ΔE_f in eV per atom: -0.654
# VASP energy in eV per atom: -5.949


# PBE-GGA Sc7HgPd4, optimized geometry
data_Sc7HgPd4
_space_group_name_H-M_alt 'C 1 2/m 1'
_space_group_IT_number 12
_space_group_name_Hall '-C 2y'
_cell_length_a 13.2891
_cell_length_b 5.2417
_cell_length_c 8.9806
_cell_angle_alpha 90.00
_cell_angle_beta 125.98
_cell_angle_gamma 90.00
loop_
_atom_site_label
_atom_site_fract_x
_atom_site_fract_y
_atom_site_fract_z
Sc1 0.0000 0.0000 0.0000
Sc2 0.0634 0.5000 0.3805
Sc3 0.2135 0.0000 0.6627
Sc4 0.2180 0.5000 0.8837
Hg1 0.0000 0.5000 0.0000
Pd1 0.0629 0.0000 0.7582
Pd2 0.2005 0.0000 0.3494
# Total moment in μB per atom: 0.000
# ΔE_f in eV per atom: -0.455
# VASP energy in eV per atom: -5.905


# PBE-GGA Sc4Hg3Pd, optimized geometry
data_Sc4Hg3Pd
_space_group_name_H-M_alt 'P 4/m m m'
_space_group_IT_number 123
_space_group_name_Hall '-P 4 2'
_cell_length_a 3.4677
_cell_length_b 3.4677
_cell_length_c 13.8844
_cell_angle_alpha 90.00
_cell_angle_beta 90.00
_cell_angle_gamma 90.00
loop_
_atom_site_label
_atom_site_fract_x
_atom_site_fract_y
_atom_site_fract_z
Sc1 0.0000 0.0000 0.1122
Sc2 0.0000 0.0000 0.3709
Hg1 0.5000 0.5000 0.2428
Hg2 0.5000 0.5000 0.5000
Pd1 0.5000 0.5000 0.0000
# Total moment in μB per atom: 0.000
# ΔE_f in eV per atom: -0.533
# VASP energy in eV per atom: -4.461


# PBE-GGA ScHgPd, optimized geometry
data_ScHgPd
_space_group_name_H-M_alt 'C 1 2/m 1'
_space_group_IT_number 12
_space_group_name_Hall '-C 2y'
_cell_length_a 9.7638
_cell_length_b 3.5119
_cell_length_c 7.2798
_cell_angle_alpha 90.00
_cell_angle_beta 112.55
_cell_angle_gamma 90.00
loop_
_atom_site_label
_atom_site_fract_x
_atom_site_fract_y
_atom_site_fract_z
Sc1 0.0053 0.0000 0.2810
Hg1 0.1675 0.5000 0.0966
Pd1 0.1607 0.5000 0.5778
# Total moment in μB per atom: 0.000
# ΔE_f in eV per atom: -0.641
# VASP energy in eV per atom: -4.583


# PBE-GGA ScHgPd14, optimized geometry
data_ScHgPd14
_space_group_name_H-M_alt 'P 4/m m m'
_space_group_IT_number 123
_space_group_name_Hall '-P 4 2'
_cell_length_a 5.6627
_cell_length_b 5.6627
_cell_length_c 7.9394
_cell_angle_alpha 90.00
_cell_angle_beta 90.00
_cell_angle_gamma 90.00
loop_
_atom_site_label
_atom_site_fract_x
_atom_site_fract_y
_atom_site_fract_z
Sc1 0.0000 0.0000 0.0000
Hg1 0.5000 0.5000 0.0000
Pd1 0.0000 0.0000 0.5000
Pd2 0.0000 0.5000 0.0000
Pd3 0.0000 0.5000 0.5000
Pd4 0.2472 0.2472 0.2525
Pd5 0.5000 0.5000 0.5000
# Total moment in μB per atom: 0.000
# ΔE_f in eV per atom: -0.229
# VASP energy in eV per atom: -5.188


# PBE-GGA ScHg2Pd, optimized geometry
data_ScHg2Pd
_space_group_name_H-M_alt 'P 4/m m m'
_space_group_IT_number 123
_space_group_name_Hall '-P 4 2'
_cell_length_a 3.5526
_cell_length_b 3.5526
_cell_length_c 6.2632
_cell_angle_alpha 90.00
_cell_angle_beta 90.00
_cell_angle_gamma 90.00
loop_
_atom_site_label
_atom_site_fract_x
_atom_site_fract_y
_atom_site_fract_z
Sc1 0.0000 0.0000 0.0000
Hg1 0.5000 0.5000 0.2630
Pd1 0.0000 0.0000 0.5000
# Total moment in μB per atom: 0.077
# ΔE_f in eV per atom: -0.345
# VASP energy in eV per atom: -3.377


# PBE-GGA ScHg2Pd, optimized geometry
data_ScHg2Pd
_space_group_name_H-M_alt 'I -4 2 d'
_space_group_IT_number 122
_space_group_name_Hall 'I -4 2bw'
_cell_length_a 7.8279
_cell_length_b 7.8279
_cell_length_c 5.7401
_cell_angle_alpha 90.00
_cell_angle_beta 90.00
_cell_angle_gamma 90.00
loop_
_atom_site_label
_atom_site_fract_x
_atom_site_fract_y
_atom_site_fract_z
Sc1 0.0000 0.0000 0.0000
Hg1 0.2321 0.2500 0.6250
Pd1 0.0000 0.0000 0.5000
# Total moment in μB per atom: 0.000
# ΔE_f in eV per atom: -0.127
# VASP energy in eV per atom: -3.159


# PBE-GGA ScHgPd5, optimized geometry
data_ScHgPd5
_space_group_name_H-M_alt 'C 1 2/c 1'
_space_group_IT_number 15
_space_group_name_Hall '-C 2yc'
_cell_length_a 9.1644
_cell_length_b 5.1811
_cell_length_c 10.3628
_cell_angle_alpha 90.00
_cell_angle_beta 94.73
_cell_angle_gamma 90.00
loop_
_atom_site_label
_atom_site_fract_x
_atom_site_fract_y
_atom_site_fract_z
Sc1 0.0000 0.1844 0.2500
Hg1 0.0000 0.5000 0.0000
Pd1 0.0000 0.3046 0.7500
Pd2 0.1547 0.0395 0.5545
Pd3 0.2415 0.4397 0.1821
# Total moment in μB per atom: 0.000
# ΔE_f in eV per atom: -0.337
# VASP energy in eV per atom: -4.994


# PBE-GGA ScHg2Pd9, optimized geometry
data_ScHg2Pd9
_space_group_name_H-M_alt 'P 4/m m m'
_space_group_IT_number 123
_space_group_name_Hall '-P 4 2'
_cell_length_a 4.0098
_cell_length_b 4.0098
_cell_length_c 12.3211
_cell_angle_alpha 90.00
_cell_angle_beta 90.00
_cell_angle_gamma 90.00
loop_
_atom_site_label
_atom_site_fract_x
_atom_site_fract_y
_atom_site_fract_z
Sc1 0.0000 0.0000 0.0000
Hg1 0.0000 0.0000 0.3332
Pd1 0.0000 0.5000 0.1613
Pd2 0.0000 0.5000 0.5000
Pd3 0.5000 0.5000 0.0000
Pd4 0.5000 0.5000 0.3284
# Total moment in μB per atom: 0.000
# ΔE_f in eV per atom: -0.350
# VASP energy in eV per atom: -4.823


# PBE-GGA Sc4HgPd, optimized geometry
data_Sc4HgPd
_space_group_name_H-M_alt 'P 4/m m m'
_space_group_IT_number 123
_space_group_name_Hall '-P 4 2'
_cell_length_a 4.6452
_cell_length_b 4.6452
_cell_length_c 6.7489
_cell_angle_alpha 90.00
_cell_angle_beta 90.00
_cell_angle_gamma 90.00
loop_
_atom_site_label
_atom_site_fract_x
_atom_site_fract_y
_atom_site_fract_z
Sc1 0.0000 0.5000 0.2359
Hg1 0.0000 0.0000 0.5000
Pd1 0.5000 0.5000 0.0000
# Total moment in μB per atom: 0.000
# ΔE_f in eV per atom: -0.252
# VASP energy in eV per atom: -5.389


# PBE-GGA ScHg2Pd, optimized geometry
data_ScHg2Pd
_space_group_name_H-M_alt 'F m -3 m'
_space_group_IT_number 225
_space_group_name_Hall '-F 4 2 3'
_cell_length_a 6.7725
_cell_length_b 6.7725
_cell_length_c 6.7725
_cell_angle_alpha 90.00
_cell_angle_beta 90.00
_cell_angle_gamma 90.00
loop_
_atom_site_label
_atom_site_fract_x
_atom_site_fract_y
_atom_site_fract_z
Sc1 0.0000 0.0000 0.0000
Hg1 0.2500 0.2500 0.2500
Pd1 0.0000 0.0000 0.5000
# Total moment in μB per atom: 0.000
# ΔE_f in eV per atom: -0.409
# VASP energy in eV per atom: -3.441


# PBE-GGA ScHg2Pd, optimized geometry
data_ScHg2Pd
_space_group_name_H-M_alt 'R -3 m'
_space_group_IT_number 166
_space_group_name_Hall '-R 3 2"'
_cell_length_a 3.1714
_cell_length_b 3.1714
_cell_length_c 30.7637
_cell_angle_alpha 90.00
_cell_angle_beta 90.00
_cell_angle_gamma 120.00
loop_
_atom_site_label
_atom_site_fract_x
_atom_site_fract_y
_atom_site_fract_z
Sc1 0.0000 0.0000 0.0000
Hg1 0.0000 0.0000 0.0950
Pd1 0.0000 0.0000 0.5000
# Total moment in μB per atom: 0.000
# ΔE_f in eV per atom: 0.108
# VASP energy in eV per atom: -2.924


# PBE-GGA ScHg5Pd6, optimized geometry
data_ScHg5Pd6
_space_group_name_H-M_alt 'C 1 2/m 1'
_space_group_IT_number 12
_space_group_name_Hall '-C 2y'
_cell_length_a 8.8179
_cell_length_b 12.9824
_cell_length_c 4.3003
_cell_angle_alpha 90.00
_cell_angle_beta 119.08
_cell_angle_gamma 90.00
loop_
_atom_site_label
_atom_site_fract_x
_atom_site_fract_y
_atom_site_fract_z
Sc1 0.0000 0.0000 0.0000
Hg1 0.0000 0.1653 0.5000
Hg2 0.0000 0.3341 0.0000
Hg3 0.0000 0.5000 0.5000
Pd1 0.2420 0.0000 0.7435
Pd2 0.2444 0.1642 0.2443
# Total moment in μB per atom: 0.000
# ΔE_f in eV per atom: -0.337
# VASP energy in eV per atom: -3.586


# PBE-GGA ScHg2Pd, optimized geometry
data_ScHg2Pd
_space_group_name_H-M_alt 'I 4/m m m'
_space_group_IT_number 139
_space_group_name_Hall '-I 4 2'
_cell_length_a 4.3189
_cell_length_b 4.3189
_cell_length_c 17.1302
_cell_angle_alpha 90.00
_cell_angle_beta 90.00
_cell_angle_gamma 90.00
loop_
_atom_site_label
_atom_site_fract_x
_atom_site_fract_y
_atom_site_fract_z
Sc1 0.0000 0.0000 0.1412
Hg1 0.0000 0.0000 0.3639
Hg2 0.0000 0.5000 0.0000
Pd1 0.0000 0.5000 0.2500
# Total moment in μB per atom: 0.000
# ΔE_f in eV per atom: -0.427
# VASP energy in eV per atom: -3.459